# 1
This record from the Alexandria database describes a geometry-optimized Pm2GeAu6 structure. The functional is PBE-GGA.

abc: 3.852 7.760 7.852
angles: 119.62 89.98 90.00
Fractional coordinates of all 9 atoms:
Pm 0.500 0.703 0.407
Pm 0.500 0.297 0.593
Ge 0.000 0.000 0.000
Au 0.000 0.350 0.303
Au 0.000 0.046 0.697
Au 0.000 0.650 0.697
Au 0.500 0.308 0.000
Au 0.000 0.954 0.303
Au 0.500 0.692 0.000

Calculated values
offset from the most stable computed form: 105 meV per atom
calculated formation energy: -45 kJ per mole of atoms

***

# 2
This record from the Alexandria database describes a geometry-optimized Pm2Ge3Au2 structure. The functional is PBE-GGA.

abc: 4.349 5.760 6.922
angles: 106.33 90.00 112.18
Fractional coordinates of all 7 atoms:
Pm 0.865 0.731 0.213
Pm 0.135 0.269 0.787
Ge 0.500 0.000 0.000
Ge 0.600 0.200 0.438
Ge 0.400 0.800 0.562
Au 0.832 0.664 0.736
Au 0.168 0.336 0.264

Calculated values
offset from the most stable computed form: 53 meV per atom
calculated formation energy: -60 kJ per mole of atoms

***

# 3
This record from the Alexandria database describes a geometry-optimized PmGe2Au2 structure. The functional is PBE-GGA.

abc: 4.449 4.449 6.140
angles: 111.70 111.70 88.83
Fractional coordinates of all 5 atoms:
Pm 0.500 0.000 0.500
Ge 0.883 0.383 0.266
Ge 0.117 0.617 0.734
Au 0.250 0.250 0.000
Au 0.750 0.750 0.000

Calculated values
offset from the most stable computed form: 3 meV per atom
calculated formation energy: -51 kJ per mole of atoms

***

# 4
This record from the Alexandria database describes a geometry-optimized Pm4Ge3Au structure. The functional is PBE-GGA.

abc: 4.324 4.193 11.204
angles: 90.00 90.00 90.00
Fractional coordinates of all 8 atoms:
Pm 0.500 0.500 0.364
Pm 0.000 0.500 0.860
Pm 0.000 0.000 0.140
Pm 0.500 0.000 0.638
Ge 0.000 0.500 0.585
Ge 0.000 0.000 0.419
Ge 0.500 0.000 0.915
Au 0.500 0.500 0.079

Calculated values
calculated formation energy: -79 kJ per mole of atoms

***

# 5
This record from the Alexandria database describes a geometry-optimized PmGeAu structure. The functional is PBE-GGA.

abc: 3.539 3.539 5.923
angles: 107.10 107.10 90.91
Fractional coordinates of all 3 atoms:
Pm 0.995 0.995 0.990
Au 0.319 0.319 0.638
Ge 0.686 0.686 0.372

Calculated values
offset from the most stable computed form: 350 meV per atom
calculated formation energy: -45 kJ per mole of atoms

***

# 6
This record from the Alexandria database describes a geometry-optimized Pm3Ge7Au2 structure. The functional is PBE-GGA.

abc: 4.129 4.692 13.796
angles: 101.24 90.00 90.00
Fractional coordinates of all 12 atoms:
Pm 0.500 0.500 0.000
Pm 0.000 0.169 0.369
Pm 0.000 0.831 0.631
Ge 0.500 0.730 0.462
Ge 0.500 0.270 0.538
Ge 0.000 0.713 0.169
Ge 0.000 0.000 0.000
Ge 0.000 0.287 0.831
Ge 0.500 0.923 0.836
Ge 0.500 0.077 0.164
Au 0.500 0.581 0.277
Au 0.500 0.419 0.723

Calculated values
calculated formation energy: -49 kJ per mole of atoms